{"formula": "Hg2ClO", "functional": "PBE-GGA", "state": "relaxed", "lattice": [[1.901, 1.097, 6.438], [-1.901, 1.097, 6.438], [0.000, -2.195, 6.438]], "species": ["Hg", "Hg", "Cl", "O"], "frac_coords": [[0.229, 0.229, 0.229], [0.771, 0.771, 0.771], [0.000, 0.000, 0.000], [0.500, 0.500, 0.500]], "e_form_raw_ev_per_atom": -0.150, "magnetic_moment_mub_per_fu": 0.0}

---

{"formula": "Hg2ClO", "functional": "PBE-GGA", "state": "relaxed", "lattice": [[0.000, 3.356, 3.356], [3.356, 0.000, 3.356], [3.356, 3.356, 0.000]], "species": ["Hg", "Hg", "Cl", "O"], "frac_coords": [[0.250, 0.250, 0.250], [0.750, 0.750, 0.750], [0.000, 0.000, 0.000], [0.500, 0.500, 0.500]], "e_form_raw_ev_per_atom": 0.305, "magnetic_moment_mub_per_fu": 0.0}

---

{"formula": "Hg5Cl2O4", "functional": "PBE-GGA", "state": "relaxed", "lattice": [[-3.117, 5.962, 6.008], [3.117, -5.962, 6.008], [3.117, 5.962, -6.008]], "species": ["Hg", "Hg", "Hg", "Hg", "Hg", "Hg", "Hg", "Hg", "Hg", "Hg", "Cl", "Cl", "Cl", "Cl", "O", "O", "O", "O", "O", "O", "O", "O"], "frac_coords": [[0.091, 0.750, 0.341], [0.139, 0.216, 0.355], [0.250, 0.250, 0.000], [0.361, 0.716, 0.077], [0.409, 0.750, 0.659], [0.591, 0.250, 0.341], [0.639, 0.284, 0.923], [0.750, 0.750, 0.000], [0.861, 0.784, 0.645], [0.909, 0.250, 0.659], [0.109, 0.729, 0.838], [0.391, 0.229, 0.620], [0.609, 0.771, 0.380], [0.891, 0.271, 0.162], [0.030, 0.976, 0.655], [0.179, 0.524, 0.054], [0.321, 0.375, 0.345], [0.470, 0.125, 0.946], [0.530, 0.875, 0.054], [0.679, 0.625, 0.655], [0.821, 0.476, 0.946], [0.970, 0.024, 0.345]], "e_form_raw_ev_per_atom": -0.388, "magnetic_moment_mub_per_fu": 0.0}

---

{"formula": "Hg4Cl3O2", "functional": "PBE-GGA", "state": "relaxed", "lattice": [[5.754, -5.376, 0.000], [5.754, 5.376, 0.000], [-0.108, 0.000, 7.328]], "species": ["Hg", "Hg", "Hg", "Hg", "Hg", "Hg", "Hg", "Hg", "Cl", "Cl", "Cl", "Cl", "Cl", "Cl", "O", "O", "O", "O"], "frac_coords": [[0.114, 0.699, 0.990], [0.269, 0.274, 0.272], [0.274, 0.269, 0.772], [0.301, 0.886, 0.510], [0.699, 0.114, 0.490], [0.726, 0.731, 0.228], [0.731, 0.726, 0.728], [0.886, 0.301, 0.010], [0.022, 0.978, 0.250], [0.214, 0.596, 0.527], [0.404, 0.786, 0.973], [0.596, 0.214, 0.027], [0.786, 0.404, 0.473], [0.978, 0.022, 0.750], [0.155, 0.370, 0.020], [0.370, 0.155, 0.520], [0.630, 0.845, 0.480], [0.845, 0.630, 0.980]], "e_form_raw_ev_per_atom": -0.397, "magnetic_moment_mub_per_fu": 0.0}